No. 1
Below is an optimized crystal structure of Dy2SnS, with properties calculated at the PBE level.

abc: 3.8695 3.8695 22.9633
angles: 90.00 90.00 120.00
Space group R-3m (No. 166, hexagonal axes)
Asymmetric unit:
1 Dy 0.0000 0.0000 0.2356 (multiplicity 6)
2 Sn 0.0000 0.0000 0.0000 (multiplicity 3)
3 S 0.0000 0.0000 0.5000 (multiplicity 3)

## Properties
Total magnetization = 0.000 Bohr magnetons per cell
DOS at the Fermi energy = 1.88 states/eV/f.u.
Raw formation energy = -5.188 eV per formula unit
Offset from the most stable computed form = 0.00 eV/f.u.

No. 2
Below is an optimized crystal structure of Dy6SnS4, with properties calculated at the PBE level.

abc: 3.950 13.034 20.037
angles: 90.00 90.00 90.00
Space group Cmcm (No. 63)
Asymmetric unit:
1 Dy 0.000 0.000 0.000 (multiplicity 4)
2 Dy 0.000 0.153 0.250 (multiplicity 4)
3 Dy 0.000 0.271 0.585 (multiplicity 8)
4 Dy 0.000 0.459 0.159 (multiplicity 8)
5 Sn 0.000 0.166 0.750 (multiplicity 4)
6 S 0.000 0.093 0.122 (multiplicity 8)
7 S 0.000 0.362 0.039 (multiplicity 8)

## Properties
Total magnetization = 0.000 Bohr magnetons per cell
DOS at the Fermi energy = 7.47 states/eV/f.u.
Raw formation energy = -17.760 eV per formula unit